No. 1
LuNbFeRu: relaxed, PBE.

The structure in POSCAR format:
```
LuNbFeRu
1.0
4.522 0.000 0.000
2.261 3.916 0.000
2.261 1.305 3.692
Lu Fe Nb Ru
1 1 1 1
Direct
0.500 0.500 0.500
0.250 0.250 0.250
0.000 0.000 0.000
0.750 0.750 0.750
```

Results
Calculated formation energy (eV per atom): -0.199
Raw total energy (eV/atom): -8.28
Symmetry: No. 216

No. 2
NdLuFe4: relaxed, PBE.

The structure in POSCAR format:
```
NdLuFe4
1.0
-4.652 -1.535 -1.649
-1.646 -4.795 1.006
-3.824 -0.761 3.394
Nd Fe Lu
1 4 1
Direct
0.250 0.250 0.250
0.626 0.626 0.626
0.626 0.123 0.626
0.626 0.626 0.123
0.123 0.626 0.626
0.000 0.000 0.000
```

Results
Calculated formation energy (eV per atom): -0.037
Raw total energy (eV/atom): -7.23
Symmetry: No. 216

No. 3
NdLu2Fe: relaxed, PBE.

The structure in POSCAR format:
```
NdLu2Fe
1.0
-1.870 -2.643 0.737
2.304 -1.997 -1.315
4.010 -0.618 7.965
Lu Nd Fe
2 1 1
Direct
0.000 0.000 0.826
0.000 0.000 0.174
0.500 0.500 0.500
0.500 0.500 0.000
```

Results
Calculated formation energy (eV per atom): 0.008
Raw total energy (eV/atom): -5.56
E above lowest polymorph (eV/atom): 0.0000
Symmetry: No. 123

No. 4
NdLu2Fe: relaxed, PBE.

The structure in POSCAR format:
```
NdLu2Fe
1.0
3.515 0.000 0.000
1.758 3.044 0.000
1.758 1.015 9.722
Nd Fe Lu
1 1 2
Direct
0.500 0.500 0.500
0.000 0.000 0.000
0.728 0.728 0.817
0.272 0.272 0.183
```

Results
Calculated formation energy (eV per atom): 0.169
Raw total energy (eV/atom): -5.40
E above lowest polymorph (eV/atom): 0.1619
Symmetry: No. 166